Entry 1:
Compound: Li3LaAg2
Source: the Alexandria database
Functional: PBE-GGA
Structure: optimized geometry

POSCAR file:
```
Li3LaAg2
1.0
7.1711 -2.2526 0.0000
7.1711 2.2526 0.0000
-4.2996 0.0000 7.8280
Li La Ag
6 2 4
direct
0.0577 0.0577 0.3946
0.2861 0.2861 0.4640
0.4201 0.4201 0.3195
0.5799 0.5799 0.6805
0.7139 0.7139 0.5360
0.9423 0.9423 0.6054
0.1345 0.1345 0.0177
0.8655 0.8655 0.9823
0.2058 0.2058 0.7230
0.4365 0.4365 0.8009
0.5635 0.5635 0.1991
0.7942 0.7942 0.2770
```

Properties
- E_tot: -0.106 Ha/atom
- N(E_F): 0.635 states/eV per atom
- Space group: No. 12

=====

Entry 2:
Compound: Pm4InAg2Ru
Source: the Alexandria database
Functional: PBE-GGA
Structure: optimized geometry

POSCAR file:
```
Pm4InAg2Ru
1.0
2.6291 1.5179 8.4702
-2.6291 1.5179 8.4702
0.0000 -3.0358 8.4702
Pm In Ag Ru
4 1 2 1
direct
0.1126 0.1126 0.1126
0.3666 0.3666 0.3666
0.6334 0.6334 0.6334
0.8874 0.8874 0.8874
0.5000 0.5000 0.5000
0.2388 0.2388 0.2388
0.7612 0.7612 0.7612
0.0000 0.0000 0.0000
```

Properties
- E_tot: -0.181 Ha/atom
- N(E_F): 0.553 states/eV per atom
- Space group: No. 166

=====

Entry 3:
Compound: ThNb4O12
Source: the Alexandria database
Functional: PBE-GGA
Structure: optimized geometry

POSCAR file:
```
ThNb4O12
1.0
-2.8052 2.8052 7.9680
2.8052 -2.8052 7.9680
2.8052 2.8052 -7.9680
Th Nb O
1 4 12
direct
0.0000 0.0000 0.0000
0.1279 0.6279 0.5000
0.3721 0.8721 0.5000
0.6279 0.1279 0.5000
0.8721 0.3721 0.5000
0.0000 0.5000 0.5000
0.1230 0.1230 0.4706
0.1230 0.6524 0.0000
0.2500 0.7500 0.5000
0.3476 0.3476 0.4706
0.3476 0.8770 0.0000
0.5000 0.0000 0.5000
0.6524 0.1230 0.0000
0.6524 0.6524 0.5294
0.7500 0.2500 0.5000
0.8770 0.3476 0.0000
0.8770 0.8770 0.5294
```

Properties
- Energy above the lowest structure with this stoichiometry: 0.37 eV per formula unit
- E_form (uncorrected): -62.50 kcal/mol of atoms
- Space group: No. 139

=====

Entry 4:
Compound: HoEr7Tm4
Source: the Alexandria database
Functional: PBE-GGA
Structure: optimized geometry

POSCAR file:
```
HoEr7Tm4
1.0
5.9422 -2.8816 0.0000
5.9422 2.8816 0.0000
-5.9257 0.0000 11.0095
Ho Er Tm
1 7 4
direct
0.0000 0.0000 0.0000
0.0611 0.0611 0.3210
0.2121 0.2121 0.9240
0.3654 0.3654 0.4990
0.5000 0.5000 0.0000
0.6346 0.6346 0.5010
0.7879 0.7879 0.0760
0.9389 0.9389 0.6790
0.2455 0.2455 0.6823
0.3637 0.3637 0.2256
0.6363 0.6363 0.7744
0.7545 0.7545 0.3177
```

Properties
- Energy above the lowest structure with this stoichiometry: 2.57 eV per formula unit
- N(E_F): 1.681 states/eV per atom
- Space group: No. 12

=====

Entry 5:
Compound: DyNbW4
Source: the Alexandria database
Functional: PBE-GGA
Structure: optimized geometry

POSCAR file:
```
DyNbW4
1.0
0.0000 3.8346 3.8346
3.8346 0.0000 3.8346
3.8346 3.8346 0.0000
Dy Nb W
1 1 4
direct
0.0000 0.0000 0.0000
0.2500 0.2500 0.2500
0.1249 0.6250 0.6250
0.6250 0.1249 0.6250
0.6250 0.6250 0.1249
0.6250 0.6250 0.6250
```

Properties
- E_tot: -0.404 Ha/atom
- N(E_F): 0.556 states/eV per atom
- Space group: No. 216

=====

Entry 6:
Compound: TcAg2Cl
Source: the Alexandria database
Functional: PBE-GGA
Structure: optimized geometry

POSCAR file:
```
TcAg2Cl
1.0
2.8186 0.0000 0.0000
0.0000 3.0015 0.0000
-0.8349 0.0000 8.9400
Tc Ag Cl
1 2 1
direct
0.0000 0.0000 0.0000
0.1369 0.0000 0.4601
0.5684 0.5000 0.2307
0.9405 0.5000 0.8028
```

Properties
- Energy above the lowest structure with this stoichiometry: 0.21 eV per formula unit
- E_form (uncorrected): 6.66 kcal/mol of atoms
- N(E_F): 0.739 states/eV per atom
- Space group: No. 6

=====

Entry 7:
Compound: Mn4InSb
Source: the Alexandria database
Functional: PBE-GGA
Structure: optimized geometry

POSCAR file:
```
Mn4InSb
1.0
0.0000 3.5778 3.5778
3.5778 0.0000 3.5778
3.5778 3.5778 0.0000
Mn In Sb
4 1 1
direct
0.1247 0.1247 0.1247
0.1247 0.1247 0.6260
0.1247 0.6260 0.1247
0.6260 0.1247 0.1247
0.7500 0.7500 0.7500
0.5000 0.5000 0.5000
```

Properties
- E_form (uncorrected): 7.97 kcal/mol of atoms
- N(E_F): 1.574 states/eV per atom
- Space group: No. 216

=====

Entry 8:
Compound: Ac8AgPb5
Source: the Alexandria database
Functional: PBE-GGA
Structure: optimized geometry

POSCAR file:
```
Ac8AgPb5
1.0
-5.0901 5.0901 5.1771
5.0901 -5.0901 5.1771
5.0901 5.0901 -5.1771
Ac Ag Pb
8 1 5
direct
0.0107 0.1308 0.7469
0.2415 0.4846 0.6075
0.3661 0.7585 0.2432
0.3839 0.2638 0.2531
0.5154 0.1229 0.7568
0.7362 0.9893 0.1201
0.8692 0.6161 0.8799
0.8771 0.6339 0.3925
0.7500 0.2500 0.5000
0.1285 0.0007 0.3742
0.2457 0.8715 0.8721
0.5000 0.5000 0.0000
0.6264 0.7543 0.6258
0.9993 0.3736 0.1279
```

Properties
- E_tot: -0.159 Ha/atom
- N(E_F): 0.757 states/eV per atom
- Space group: No. 82

=====

Entry 9:
Compound: Pm2PaSi6
Source: the Alexandria database
Functional: PBE-GGA
Structure: optimized geometry

POSCAR file:
```
Pm2PaSi6
1.0
7.0802 0.0000 0.0000
-3.5401 6.1316 0.0000
0.0000 0.0000 4.0674
Pm Pa Si
2 1 6
direct
0.3333 0.6667 0.0000
0.6667 0.3333 0.0000
0.0000 0.0000 0.0000
0.0000 0.3303 0.5000
0.0000 0.6697 0.5000
0.3303 0.0000 0.5000
0.3303 0.3303 0.5000
0.6697 0.0000 0.5000
0.6697 0.6697 0.5000
```

Properties
- E_form (uncorrected): -12.96 kcal/mol of atoms
- N(E_F): 0.696 states/eV per atom
- Space group: No. 191

=====

Entry 10:
Compound: LaGd4Ho
Source: the Alexandria database
Functional: PBE-GGA
Structure: optimized geometry

POSCAR file:
```
LaGd4Ho
1.0
0.0000 4.6886 4.6886
4.6886 0.0000 4.6886
4.6886 4.6886 0.0000
La Gd Ho
1 4 1
direct
0.0000 0.0000 0.0000
0.3756 0.3756 0.3756
0.3756 0.3756 0.8733
0.3756 0.8733 0.3756
0.8733 0.3756 0.3756
0.7500 0.7500 0.7500
```

Properties
- E_tot: -0.394 Ha/atom
- N(E_F): 2.239 states/eV per atom
- Space group: No. 216

=====

Entry 11:
Compound: GaAu
Source: the Alexandria database
Functional: PBE-GGA
Structure: optimized geometry

POSCAR file:
```
GaAu
1.0
7.3777 0.0000 0.0000
0.0000 7.3777 0.0000
0.0000 0.0000 3.9396
Ga Au
4 4
direct
0.1503 0.1503 0.0000
0.3497 0.6503 0.5000
0.6503 0.3497 0.5000
0.8497 0.8497 0.0000
0.1971 0.8029 0.0000
0.3029 0.3029 0.5000
0.6971 0.6971 0.5000
0.8029 0.1971 0.0000
```

Properties
- E_tot: -0.116 Ha/atom
- N(E_F): 0.502 states/eV per atom
- Space group: No. 136

=====

Entry 12:
Compound: K2CrAgI6
Source: the Alexandria database
Functional: PBE-GGA
Structure: optimized geometry

POSCAR file:
```
K2CrAgI6
1.0
7.7925 0.0000 0.0000
-0.0030 7.7997 0.0000
-3.8888 -3.8710 6.1789
K Cr Ag I
2 1 1 6
direct
0.0000 0.0000 0.0000
0.4984 0.4951 0.9998
0.7456 0.2443 0.4926
0.2234 0.7216 0.4473
0.0600 0.4254 0.5025
0.4388 0.0711 0.4984
0.5213 0.0282 0.0475
0.5767 0.5607 0.5075
0.9217 0.9351 0.4933
0.9754 0.4645 0.9486
```

Properties
- E_form (uncorrected): -17.21 kcal/mol of atoms
- Space group: No. 1

=====

What is the formula in the seventh record? Mn4InSb

=====

What is the formula in the seventh record? Mn4InSb

=====

Copy entry 7 word for word.
Compound: Mn4InSb
Source: the Alexandria database
Functional: PBE-GGA
Structure: optimized geometry

POSCAR file:
```
Mn4InSb
1.0
0.0000 3.5778 3.5778
3.5778 0.0000 3.5778
3.5778 3.5778 0.0000
Mn In Sb
4 1 1
direct
0.1247 0.1247 0.1247
0.1247 0.1247 0.6260
0.1247 0.6260 0.1247
0.6260 0.1247 0.1247
0.7500 0.7500 0.7500
0.5000 0.5000 0.5000
```

Properties
- E_form (uncorrected): 7.97 kcal/mol of atoms
- N(E_F): 1.574 states/eV per atom
- Space group: No. 216